HgTeAu2: relaxed, GGA-PBE.

The structure belongs to space group P4mm (No. 99); the cell edges are 3.1168, 3.1168 and 9.4929 Å and the angles 90.00°, 90.00° and 90.00°. The inequivalent atoms are Hg at (0.0000, 0.0000, 0.0000), Te at (0.5000, 0.5000, 0.3232), Au at (0.0000, 0.0000, 0.5707) and Au at (0.5000, 0.5000, 0.7716).

The formation energy from raw total energies comes out at 18.3 kJ per mole of atoms. The mass density comes out at 13.00 Mg/m³. Its offset from the most stable computed form is 156 meV per atom.



Mg3Cd2Ag: relaxed, GGA-PBE.

The structure belongs to space group Cmmm (No. 65); the cell edges are 4.9910, 14.8894 and 3.2974 Å and the angles 90.00°, 90.00° and 90.00°. The inequivalent atoms are Mg at (0.0000, 0.0000, 0.0000), Mg at (0.0000, 0.3441, 0.0000), Cd at (0.0000, 0.1720, 0.5000) and Ag at (0.0000, 0.5000, 0.5000).

The mass density comes out at 5.50 Mg/m³. Its formation energy is -14 kJ/mol of atoms. Its offset from the most stable computed form is 7 meV per atom.



ZnInAs2: relaxed, GGA-PBE.

The structure belongs to space group P2/m (No. 10); the cell edges are 4.5153, 3.8193 and 5.4668 Å and the angles 90.00°, 108.62° and 90.00°. The inequivalent atoms are Zn at (0.0000, 0.0000, 0.0000), In at (0.5000, 0.0000, 0.5000) and As at (0.2634, 0.5000, 0.8112).

The mass density comes out at 6.13 Mg/m³. Its formation energy is 4 kJ/mol of atoms.



Repeat the second record exactly.
Mg3Cd2Ag: relaxed, GGA-PBE.

The structure belongs to space group Cmmm (No. 65); the cell edges are 4.9910, 14.8894 and 3.2974 Å and the angles 90.00°, 90.00° and 90.00°. The inequivalent atoms are Mg at (0.0000, 0.0000, 0.0000), Mg at (0.0000, 0.3441, 0.0000), Cd at (0.0000, 0.1720, 0.5000) and Ag at (0.0000, 0.5000, 0.5000).

The mass density comes out at 5.50 Mg/m³. Its formation energy is -14 kJ/mol of atoms. Its offset from the most stable computed form is 7 meV per atom.



Question: mass density of number 1 (HgTeAu2)?
Answer: 13.00 Mg/m³



Question: Which of these has the highest mass density?
Answer: HgTeAu2



Copy entry 3 word for word.
ZnInAs2: relaxed, GGA-PBE.

The structure belongs to space group P2/m (No. 10); the cell edges are 4.5153, 3.8193 and 5.4668 Å and the angles 90.00°, 108.62° and 90.00°. The inequivalent atoms are Zn at (0.0000, 0.0000, 0.0000), In at (0.5000, 0.0000, 0.5000) and As at (0.2634, 0.5000, 0.8112).

The mass density comes out at 6.13 Mg/m³. Its formation energy is 4 kJ/mol of atoms.